Computed, not measured: a relaxed CuOsW2 crystal at the PBE-GGA level of DFT.

Results
ρ	17.57	g/cm3
excess energy over the best structure of this formula in the dataset	26	meV/atom

Unit cell a=3.8603 b=3.8603 c=3.9410 alpha=90.00 beta=90.00 gamma=90.00
Closest atoms and distances in Å follow each position.
Fractional coordinates of all 4 atoms:
Cu: 0.5000 0.0000 0.5000  4 Os 2.73, 8 W 2.76
Os: 0.0000 0.5000 0.5000  4 Cu 2.73, 8 W 2.76
W: 0.0000 0.0000 0.0000  4 W 2.73, 4 Os 2.76, 4 Cu 2.76
W: 0.5000 0.5000 0.0000  4 W 2.73, 4 Os 2.76, 4 Cu 2.76


Computed, not measured: a relaxed HgSbAu2 crystal at the PBE-GGA level of DFT.

Results
ρ	12.69	g/cm3
formation energy without anion corrections	0.180	eV per formula unit
excess energy over the best structure of this formula in the dataset	22	meV/atom

Unit cell a=4.7288 b=4.4803 c=4.4737 alpha=81.46 beta=90.00 gamma=90.00
Closest atoms and distances in Å follow each position.
Fractional coordinates of all 4 atoms:
Sb: 0.5000 0.7868 0.7873  5 Au 2.78-3.05
Au: 0.0000 0.0028 0.0025  2 Sb 2.78, 2 Au 2.85, 2 Hg 2.93
Au: 0.5000 0.2360 0.2363  2 Au 2.85, 2 Hg 2.86, 3 Sb 2.94-3.05
Hg: 0.0000 0.4744 0.4739  5 Au 2.86-3.20, 2 Sb 3.18


Computed, not measured: a relaxed PmDy2HoN4 crystal at the PBE-GGA level of DFT.

Results
ρ	9.42	g/cm3
formation energy without anion corrections	-13.062	eV per formula unit

Unit cell a=3.5050 b=6.0695 c=6.0689 alpha=109.43 beta=90.00 gamma=90.00
Closest atoms and distances in Å follow each position.
Fractional coordinates of all 8 atoms:
Pm: 0.5000 0.5000 0.0000  6 N 2.51
Dy: 0.5000 0.0000 0.5000  6 N 2.45
Dy: 0.0000 0.5000 0.5000  6 N 2.48
Ho: 0.0000 0.0000 0.0000  6 N 2.47
N: 0.5000 0.2462 0.2519  3 Dy 2.45-2.48, 2 Ho 2.47, 1 Pm 2.51
N: 0.5000 0.7538 0.7481  3 Dy 2.45-2.48, 2 Ho 2.47, 1 Pm 2.51
N: 0.0000 0.2437 0.7446  3 Dy 2.45-2.48, 1 Ho 2.47, 2 Pm 2.51
N: 0.0000 0.7563 0.2554  3 Dy 2.45-2.48, 1 Ho 2.47, 2 Pm 2.51


Computed, not measured: a relaxed Er8Ir2Os crystal at the PBE-GGA level of DFT.

Results
ρ	11.18	g/cm3
excess energy over the best structure of this formula in the dataset	71	meV/atom

Unit cell a=5.7742 b=7.4911 c=7.4911 alpha=112.42 beta=100.19 gamma=100.19
Closest atoms and distances in Å follow each position.
Fractional coordinates of all 11 atoms:
Ir: 0.4909 0.6942 0.3198  7 Er 2.79-3.12
Ir: 0.4909 0.3198 0.6942  7 Er 2.79-3.12
Os: 0.1338 0.9997 0.9997  8 Er 2.81-3.03
Er: 0.5752 0.3341 0.0787  2 Ir 2.79-2.80, 1 Os 3.03
Er: 0.5752 0.0787 0.3341  2 Ir 2.79-2.80, 1 Os 3.03
Er: 0.1740 0.3590 0.3590  1 Os 2.93, 2 Ir 2.98
Er: 0.9898 0.2155 0.7840  1 Os 2.81, 2 Ir 3.12-3.14
Er: 0.9898 0.7840 0.2155  1 Os 2.81, 2 Ir 3.12-3.14
Er: 0.8050 0.6442 0.6442  2 Ir 2.95, 1 Os 2.97
Er: 0.3875 0.9302 0.6746  2 Ir 2.81, 1 Os 2.99
Er: 0.3875 0.6746 0.9302  2 Ir 2.81, 1 Os 2.99


> Look up the ρ of the second one.

12.69 g/cm3


> The highest ρ belongs to which entry?

CuOsW2